Entry 1:
VASP calculation (GGA-PBE) on an optimized crystal structure of PuHClF.

Cell and atoms, written as POSCAR:
```
PuHClF
1.0
3.325 0.000 0.000
0.000 3.332 0.003
-1.662 -0.005 6.756
Pu Cl H F
1 1 1 1
direct
0.090 0.429 0.181
0.458 0.929 0.916
0.642 0.930 0.283
0.241 0.430 0.482
```

Output
Final energy ... -27.28 eV for the cell shown
Space group ... No. 38

=====

Entry 2:
VASP calculation (GGA-PBE) on an optimized crystal structure of LaPr2Al2Ga2.

Cell and atoms, written as POSCAR:
```
LaPr2Al2Ga2
1.0
-0.449 3.884 1.868
-3.883 1.919 0.102
-3.721 -3.216 10.815
La Al Pr Ga
1 2 2 2
direct
0.000 0.000 0.000
0.395 0.395 0.814
0.605 0.605 0.186
0.875 0.875 0.374
0.125 0.125 0.626
0.265 0.265 0.204
0.735 0.735 0.796
```

Output
Energy of formation ... -436 meV per atom
Final energy ... -31.08 eV for the cell shown
Space group ... No. 166

=====

Entry 3:
VASP calculation (GGA-PBE) on an optimized crystal structure of RbAgAu2.

Cell and atoms, written as POSCAR:
```
RbAgAu2
1.0
-4.063 0.134 -2.609
-2.861 -3.886 -0.216
-5.380 0.740 3.945
Au Rb Ag
2 1 1
direct
0.320 0.320 0.039
0.680 0.680 0.961
0.500 0.500 0.500
0.000 0.000 0.000
```

Output
Energy of formation ... -168 meV per atom
Final energy ... -11.05 eV for the cell shown
Space group ... No. 166

=====

Entry 4:
VASP calculation (GGA-PBE) on an optimized crystal structure of Cd8Cu2Au.

Cell and atoms, written as POSCAR:
```
Cd8Cu2Au
1.0
-0.897 3.160 -3.009
7.156 0.141 -1.985
-4.300 -6.316 -2.054
Cd Cu Au
8 2 1
direct
0.342 0.123 0.684
0.000 0.695 0.000
0.000 0.305 0.000
0.342 0.561 0.684
0.844 0.844 0.689
0.658 0.439 0.316
0.658 0.877 0.316
0.156 0.156 0.311
0.185 0.685 0.371
0.815 0.315 0.629
0.500 0.000 0.000
```

Output
Energy of formation ... -6 meV per atom
Final energy ... -18.86 eV for the cell shown
Space group ... No. 71